A plane-wave DFT calculation with PBE was carried out for a relaxed Pa2GaBi crystal.

Cell lengths 3.4200, 3.4200, 8.5156 Å; angles 90.00, 90.00, 90.00 degrees
Element x y z (fractional)
Pa1 0.0000 0.0000 0.2233
Pa2 0.0000 0.0000 0.7767
Ga1 0.5000 0.5000 0.0000
Bi1 0.5000 0.5000 0.5000

Output
- SG: P4/mmm
- ΔH_f (0 K): -75 meV/atom
- Electronic total energy: -26.20 eV per cell
- Energy relative to the lowest polymorph listed for this composition: 0.0 meV/atom
- Calculated density: 12.35 Mg/m³